Entry from the Alexandria database: crystalline Ga6Pd2Au at its relaxed geometry (PBE-GGA).

a b c (Å): 6.1452 6.6627 7.9329
angles (deg): 90.00 81.48 90.00
Closest atoms and distances in Å follow each position.
Fractional coordinates of all 18 atoms:
Ga1 0.8695 0.0116 0.1985  2 Pd 2.58-2.61, 1 Au 2.63, 2 Ga 2.68-2.84
Ga2 0.8432 0.6385 0.5771  3 Pd 2.59-2.68, 1 Au 2.63, 2 Ga 2.81-2.84
Ga3 0.8897 0.6777 0.9382  1 Au 2.65, 2 Pd 2.67-2.72, 3 Ga 2.68-2.97
Ga4 0.6103 0.1777 0.5618  1 Au 2.65, 2 Pd 2.67-2.72, 3 Ga 2.68-2.97
Ga5 0.6568 0.1385 0.9229  3 Pd 2.59-2.68, 1 Au 2.63, 2 Ga 2.81-2.84
Ga6 0.6305 0.5116 0.3015  2 Pd 2.58-2.61, 1 Au 2.63, 2 Ga 2.68-2.84
Ga7 0.1305 0.9884 0.8015  2 Pd 2.58-2.61, 1 Au 2.63, 2 Ga 2.68-2.84
Ga8 0.1568 0.3615 0.4229  3 Pd 2.59-2.68, 1 Au 2.63, 2 Ga 2.81-2.84
Ga9 0.1103 0.3223 0.0618  1 Au 2.65, 2 Pd 2.67-2.72, 3 Ga 2.68-2.97
Ga10 0.3897 0.8223 0.4382  1 Au 2.65, 2 Pd 2.67-2.72, 3 Ga 2.68-2.97
Ga11 0.3432 0.8615 0.0771  3 Pd 2.59-2.68, 1 Au 2.63, 2 Ga 2.81-2.84
Ga12 0.3695 0.4884 0.6985  2 Pd 2.58-2.61, 1 Au 2.63, 2 Ga 2.68-2.84
Pd1 0.9749 0.3452 0.7513  7 Ga 2.58-2.72
Pd2 0.5251 0.8452 0.7487  7 Ga 2.58-2.72
Pd3 0.4749 0.1548 0.2513  7 Ga 2.58-2.72
Pd4 0.0251 0.6548 0.2487  7 Ga 2.58-2.72
Au1 0.5000 0.5000 0.0000  6 Ga 2.63-2.65
Au2 0.0000 0.0000 0.5000  6 Ga 2.63-2.65

Results
space-group type = P2_1/c (14)
E = -3.836 eV/atom